1.
A plane-wave DFT calculation with PBE-GGA was carried out for a geometry-optimized TlVZnSe3 structure.

DOS(E_F) = 0.872 states/eV/atom
total energy = -4.4051 eV/atom
formation energy from raw total energies = -536.4 meV per atom

a b c (Å): 3.8588 10.0824 7.6586
angles (deg): 90.00 104.59 90.00
Last column: nearest neighbours and their distance in Å.
Sites, in units of the cell vectors:
Tl 0.2455 0.2500 0.4895  8 Se 3.37-3.59, 2 Zn 3.66
Tl 0.7545 0.7500 0.5105  8 Se 3.37-3.59, 2 Zn 3.66
V 0.0000 0.0000 0.0000  6 Se 2.63-2.72
V 0.0000 0.5000 0.0000  6 Se 2.63-2.72
Zn 0.4652 0.7500 0.9302  4 Se 2.43-2.46
Zn 0.5348 0.2500 0.0698  4 Se 2.43-2.46
Se 0.0686 0.7500 0.1370  2 Zn 2.46, 2 V 2.72
Se 0.3830 0.5419 0.7660  1 Zn 2.43, 2 V 2.63
Se 0.3830 0.9581 0.7660  1 Zn 2.43, 2 V 2.63
Se 0.6170 0.0419 0.2340  1 Zn 2.43, 2 V 2.63
Se 0.6170 0.4581 0.2340  1 Zn 2.43, 2 V 2.63
Se 0.9314 0.2500 0.8630  2 Zn 2.46, 2 V 2.72

---

2.
A plane-wave DFT calculation with PBE-GGA was carried out for a geometry-optimized K2FeNi structure.

DOS(E_F) = 0.930 states/eV/atom
DFT formation energy = 584 meV/atom
total energy = -3.5261 eV/atom
distance to the lowest polymorph of the same formula = 0.011 eV/atom

a b c (Å): 20.1965 3.0645 3.7955
angles (deg): 90.00 100.40 90.00
Last column: nearest neighbours and their distance in Å.
Sites, in units of the cell vectors:
K 0.1444 0.0000 0.1392  2 K 3.06, 2 Ni 3.25
K 0.3556 0.5000 0.8608  2 K 3.06, 2 Ni 3.25
K 0.6444 0.5000 0.1392  2 K 3.06, 2 Ni 3.25
K 0.8556 0.0000 0.8608  2 K 3.06, 2 Ni 3.25
Fe 0.0000 0.0000 0.5000  4 Ni 2.44
Fe 0.5000 0.5000 0.5000  4 Ni 2.44
Ni 0.0000 0.5000 0.0000  4 Fe 2.44
Ni 0.5000 0.0000 0.0000  4 Fe 2.44

---

3.
A plane-wave DFT calculation with PBE-GGA was carried out for a geometry-optimized Ba6Pt2SeI2 structure.

DOS(E_F) = 0.820 states/eV/atom
total energy = -3.9042 eV/atom
formation energy from raw total energies = -1158.5 meV per atom

a b c (Å): 8.1797 8.1797 8.7971
angles (deg): 98.70 98.70 119.06
Last column: nearest neighbours and their distance in Å.
Sites, in units of the cell vectors:
Ba 0.0891 0.4309 0.7946  2 Pt 3.18-3.20, 1 Se 3.30
Ba 0.2183 0.2183 0.2003  2 Pt 3.20, 1 Se 3.32
Ba 0.4309 0.0891 0.7946  2 Pt 3.18-3.20, 1 Se 3.30
Ba 0.5691 0.9109 0.2054  2 Pt 3.18-3.20, 1 Se 3.30
Ba 0.7817 0.7817 0.7997  2 Pt 3.20, 1 Se 3.32
Ba 0.9109 0.5691 0.2054  2 Pt 3.18-3.20, 1 Se 3.30
Pt 0.1698 0.8302 0.0000  6 Ba 3.18-3.20
Pt 0.8302 0.1698 0.0000  6 Ba 3.18-3.20
Se 0.5000 0.5000 0.0000  6 Ba 3.30-3.32
I 0.3392 0.6608 0.5000  6 Ba 3.70-3.72
I 0.6608 0.3392 0.5000  6 Ba 3.70-3.72

---

4.
A plane-wave DFT calculation with PBE-GGA was carried out for a geometry-optimized Ac3Y7Ho2 structure.

DOS(E_F) = 1.488 states/eV/atom
DFT formation energy = 105 meV/atom
total energy = -5.4557 eV/atom

a b c (Å): 3.7022 5.8752 19.6790
angles (deg): 87.13 84.61 90.00
Last column: nearest neighbours and their distance in Å.
Sites, in units of the cell vectors:
Ac 0.0000 0.0000 0.0000  10 Y 3.47-3.89, 2 Ac 3.70
Ac 0.3220 0.2749 0.3564  7 Y 3.66-4.05, 2 Ac 3.70, 4 Ho 3.74-3.75
Ac 0.6780 0.7251 0.6436  7 Y 3.66-4.05, 2 Ac 3.70, 4 Ho 3.74-3.75
Y 0.0859 0.6996 0.8278  6 Y 3.51-3.70, 2 Ho 3.65-3.70, 1 Ac 3.89
Y 0.2283 0.2427 0.5434  1 Ho 3.35, 1 Ac 3.66, 2 Y 3.70
Y 0.4286 0.8033 0.1431  2 Ho 3.34, 7 Y 3.40-3.70, 2 Ac 3.51
Y 0.5000 0.5000 0.0000  4 Y 3.40-3.70, 4 Ac 3.47
Y 0.5714 0.1967 0.8569  2 Ho 3.34, 7 Y 3.40-3.70, 2 Ac 3.51
Y 0.7717 0.7573 0.4566  1 Ho 3.35, 1 Ac 3.66, 2 Y 3.70
Y 0.9141 0.3004 0.1722  6 Y 3.51-3.70, 2 Ho 3.65-3.70, 1 Ac 3.89
Ho 0.1424 0.2140 0.7148  5 Y 3.34-3.70, 2 Ho 3.70, 2 Ac 3.74
Ho 0.8576 0.7860 0.2852  5 Y 3.34-3.70, 2 Ho 3.70, 2 Ac 3.74

---

5.
A plane-wave DFT calculation with PBE-GGA was carried out for a geometry-optimized Tb6Zn5Pd structure.

DOS(E_F) = 0.798 states/eV/atom
DFT formation energy = -433 meV/atom
total energy = -3.7113 eV/atom

a b c (Å): 7.9957 7.9957 7.1175
angles (deg): 90.00 90.00 143.12
Last column: nearest neighbours and their distance in Å.
Sites, in units of the cell vectors:
Tb 0.0000 0.0000 0.2475  2 Pd 3.08, 6 Zn 3.10-3.16
Tb 0.0000 0.0000 0.7525  2 Pd 3.08, 6 Zn 3.10-3.16
Tb 0.3350 0.6650 0.2504  7 Zn 3.03-3.10, 1 Pd 3.07
Tb 0.3350 0.6650 0.7496  7 Zn 3.03-3.10, 1 Pd 3.07
Tb 0.6650 0.3350 0.2504  7 Zn 3.03-3.10, 1 Pd 3.07
Tb 0.6650 0.3350 0.7496  7 Zn 3.03-3.10, 1 Pd 3.07
Zn 0.1688 0.8312 0.5000  8 Tb 3.09-3.13
Zn 0.1731 0.8269 0.0000  8 Tb 3.03-3.16
Zn 0.5000 0.5000 0.5000  8 Tb 3.07-3.10
Zn 0.8269 0.1731 0.0000  8 Tb 3.03-3.16
Zn 0.8312 0.1688 0.5000  8 Tb 3.09-3.13
Pd 0.5000 0.5000 0.0000  8 Tb 3.07-3.08

---

6.
A plane-wave DFT calculation with PBE-GGA was carried out for a geometry-optimized Nd8Tl2Te structure.

DOS(E_F) = 1.291 states/eV/atom
total energy = -4.5034 eV/atom
formation energy from raw total energies = -320.1 meV per atom

a b c (Å): 10.2262 10.2262 7.1804
angles (deg): 100.08 100.08 29.70
Last column: nearest neighbours and their distance in Å.
Sites, in units of the cell vectors:
Nd 0.0191 0.0191 0.2582  2 Te 3.20, 1 Tl 3.23
Nd 0.2084 0.2084 0.8334  3 Tl 3.23-3.54, 2 Nd 3.55
Nd 0.3412 0.3412 0.4971  1 Te 3.14, 3 Tl 3.21-3.27
Nd 0.4070 0.4070 0.0253  1 Te 3.57, 2 Tl 3.61, 10 Nd 3.64-3.92
Nd 0.5930 0.5930 0.9747  1 Te 3.57, 2 Tl 3.61, 10 Nd 3.64-3.92
Nd 0.6588 0.6588 0.5029  1 Te 3.14, 3 Tl 3.21-3.27
Nd 0.7916 0.7916 0.1666  3 Tl 3.23-3.54, 2 Nd 3.55
Nd 0.9809 0.9809 0.7418  2 Te 3.20, 1 Tl 3.23
Tl 0.1831 0.1831 0.2650  7 Nd 3.21-3.54
Tl 0.8169 0.8169 0.7350  7 Nd 3.21-3.54
Te 0.5000 0.5000 0.5000  6 Nd 3.14-3.20

---

7.
A plane-wave DFT calculation with PBE-GGA was carried out for a geometry-optimized MgMo2Os structure.

DOS(E_F) = 1.059 states/eV/atom
DFT formation energy = 351 meV/atom
total energy = -8.2705 eV/atom

a b c (Å): 3.9548 3.9548 8.0372
angles (deg): 90.00 90.00 90.00
Last column: nearest neighbours and their distance in Å.
Sites, in units of the cell vectors:
Mg 0.0000 0.0000 0.0000  8 Mo 2.80-2.82, 4 Os 2.82
Mg 0.5000 0.5000 0.5000  8 Mo 2.80-2.82, 4 Os 2.82
Mo 0.0000 0.0000 0.5000  4 Mg 2.80, 4 Mo 2.82, 4 Os 2.82
Mo 0.0000 0.5000 0.7500  4 Os 2.80, 4 Mo 2.82, 4 Mg 2.82
Mo 0.5000 0.0000 0.2500  4 Os 2.80, 4 Mg 2.82, 4 Mo 2.82
Mo 0.5000 0.5000 0.0000  4 Mg 2.80, 4 Mo 2.82, 4 Os 2.82
Os 0.0000 0.5000 0.2500  8 Mo 2.80-2.82, 4 Mg 2.82
Os 0.5000 0.0000 0.7500  8 Mo 2.80-2.82, 4 Mg 2.82

---

8.
A plane-wave DFT calculation with PBE-GGA was carried out for a geometry-optimized PIrSe2 structure.

DOS(E_F) = 0.449 states/eV/atom
total energy = -5.3031 eV/atom
formation energy from raw total energies = 6.9 meV per atom

a b c (Å): 2.7983 3.2192 9.0529
angles (deg): 90.00 90.00 90.00
Last column: nearest neighbours and their distance in Å.
Sites, in units of the cell vectors:
P 0.0000 0.0000 0.0000  1 Se 2.28, 4 Ir 2.36
Ir 0.5000 0.5000 0.1127  4 P 2.36, 1 Se 2.53
Se 0.0000 0.0000 0.7479  1 P 2.28
Se 0.5000 0.5000 0.3922  1 Ir 2.53, 2 Se 2.80

---

9.
A plane-wave DFT calculation with PBE-GGA was carried out for a geometry-optimized NiGeB structure.

DOS(E_F) = 0.379 states/eV/atom
DFT formation energy = 67 meV/atom
total energy = -5.6254 eV/atom
distance to the lowest polymorph of the same formula = 0.039 eV/atom

a b c (Å): 3.2336 3.6009 7.4816
angles (deg): 85.76 77.89 68.56
Last column: nearest neighbours and their distance in Å.
Sites, in units of the cell vectors:
Ni 0.0000 0.0000 0.0000  4 B 2.06-2.24
Ni 0.3615 0.0017 0.2793  4 B 2.06-2.24
Ge 0.7424 0.6231 0.8175  1 B 2.31, 3 Ni 2.44-2.50
Ge 0.9240 0.6272 0.4619  1 B 2.30, 3 Ni 2.44-2.50
B 0.4174 0.4940 0.1091  2 B 1.68
B 0.8874 0.4949 0.1704  2 B 1.68

---

10.
A plane-wave DFT calculation with PBE-GGA was carried out for a geometry-optimized Ce2SmTcN4 structure.

DOS(E_F) = 0.219 states/eV/atom
total energy = -8.6144 eV/atom
formation energy from raw total energies = -1082.6 meV per atom

a b c (Å): 6.2176 6.2176 11.6659
angles (deg): 90.00 90.00 148.10
Last column: nearest neighbours and their distance in Å.
Sites, in units of the cell vectors:
Ce 0.1318 0.8682 0.5487  6 N 2.38-2.60
Ce 0.1318 0.8682 0.9513  6 N 2.38-2.60
Ce 0.8682 0.1318 0.0487  6 N 2.38-2.60
Ce 0.8682 0.1318 0.4513  6 N 2.38-2.60
Sm 0.3830 0.6170 0.7500  6 N 2.52-2.61
Sm 0.6170 0.3830 0.2500  6 N 2.52-2.61
Tc 0.3560 0.6440 0.2500  4 N 2.07-2.13
Tc 0.6440 0.3560 0.7500  4 N 2.07-2.13
N 0.0384 0.9616 0.7500  2 Tc 2.13
N 0.2310 0.7690 0.1277  1 Tc 2.07
N 0.2310 0.7690 0.3723  1 Tc 2.07
N 0.5000 0.5000 0.0000  4 Ce 2.39
N 0.5000 0.5000 0.5000  4 Ce 2.39
N 0.7690 0.2310 0.6277  1 Tc 2.07
N 0.7690 0.2310 0.8723  1 Tc 2.07
N 0.9616 0.0384 0.2500  2 Tc 2.13

---

11.
A plane-wave DFT calculation with PBE-GGA was carried out for a geometry-optimized K6Hg2O structure.

DOS(E_F) = 0.629 states/eV/atom
total energy = -1.7446 eV/atom
distance to the lowest polymorph of the same formula = 0.055 eV/atom
formation energy from raw total energies = -394.9 meV per atom

a b c (Å): 3.8654 11.3219 11.3219
angles (deg): 133.25 90.00 90.00
Last column: nearest neighbours and their distance in Å.
Sites, in units of the cell vectors:
K 0.0000 0.0000 0.0000  2 O 2.96, 2 K 3.18
K 0.0000 0.6232 0.7995  2 O 2.69
K 0.0000 0.7995 0.6232  2 O 2.69
K 0.5000 0.2559 0.7858  4 Hg 3.73-3.82, 2 K 3.87
K 0.5000 0.4400 0.4400  1 O 2.79
K 0.5000 0.7858 0.2559  4 Hg 3.73-3.82, 2 K 3.87
Hg 0.0000 0.1588 0.4365  8 K 3.70-3.93, 2 Hg 3.87
Hg 0.0000 0.4365 0.1588  8 K 3.70-3.93, 2 Hg 3.87
O 0.5000 0.7503 0.7503  7 K 2.69-2.96

---

12.
A plane-wave DFT calculation with PBE-GGA was carried out for a geometry-optimized TaNi2Sn structure.

DOS(E_F) = 0.863 states/eV/atom
DFT formation energy = -135 meV/atom
total energy = -6.9891 eV/atom

a b c (Å): 3.2515 3.2515 5.9242
angles (deg): 90.00 90.00 90.00
Last column: nearest neighbours and their distance in Å.
Sites, in units of the cell vectors:
Ta 0.0000 0.0000 0.0000  8 Ni 2.63
Ni 0.5000 0.5000 0.2156  1 Ni 2.55, 4 Ta 2.63, 4 Sn 2.85
Ni 0.5000 0.5000 0.7844  1 Ni 2.55, 4 Ta 2.63, 4 Sn 2.85
Sn 0.0000 0.0000 0.5000  8 Ni 2.85, 2 Ta 2.96

---

What did the eighth record say?
A plane-wave DFT calculation with PBE-GGA was carried out for a geometry-optimized PIrSe2 structure.

DOS(E_F) = 0.449 states/eV/atom
total energy = -5.3031 eV/atom
formation energy from raw total energies = 6.9 meV per atom

a b c (Å): 2.7983 3.2192 9.0529
angles (deg): 90.00 90.00 90.00
Last column: nearest neighbours and their distance in Å.
Sites, in units of the cell vectors:
P 0.0000 0.0000 0.0000  1 Se 2.28, 4 Ir 2.36
Ir 0.5000 0.5000 0.1127  4 P 2.36, 1 Se 2.53
Se 0.0000 0.0000 0.7479  1 P 2.28
Se 0.5000 0.5000 0.3922  1 Ir 2.53, 2 Se 2.80

---

- What is the DOS(E_F) in the fourth record?
  1.488 states/eV/atom